Record 1
{"formula": "SnGeAsSe2", "functional": "PBE", "state": "optimized geometry", "lattice_angstrom": [[5.264, 0.000, 0.000], [0.000, 5.264, 0.000], [0.000, 0.000, 5.211]], "species": ["Sn", "Ge", "As", "Se", "Se"], "frac_coords": [[0.000, 0.000, 0.000], [0.500, 0.500, 0.500], [0.000, 0.000, 0.500], [0.000, 0.500, 0.000], [0.500, 0.000, 0.000]], "formation_energy_uncorrected_ev_per_atom": 0.637, "space_group": "No. 123", "mass_density_g_cm3": 4.9, "volume_a3_per_fu": 144, "n_ef_per_ev_atom": 0.856, "total_energy_ev_per_atom": -3.41}

=====

Record 2
{"formula": "SnGeAsSe2", "functional": "PBE", "state": "optimized geometry", "lattice_angstrom": [[5.044, 0.000, 0.000], [0.000, 5.044, 0.000], [0.000, 0.000, 4.966]], "species": ["Sn", "Ge", "As", "Se", "Se"], "frac_coords": [[0.000, 0.000, 0.000], [0.500, 0.500, 0.500], [0.500, 0.500, 0.000], [0.000, 0.500, 0.500], [0.500, 0.000, 0.500]], "formation_energy_uncorrected_ev_per_atom": 0.303, "space_group": "No. 123", "mass_density_g_cm3": 5.6, "volume_a3_per_fu": 126, "n_ef_per_ev_atom": 0.879, "total_energy_ev_per_atom": -3.74}

=====

Repeat the first record exactly.
{"formula": "SnGeAsSe2", "functional": "PBE", "state": "optimized geometry", "lattice_angstrom": [[5.264, 0.000, 0.000], [0.000, 5.264, 0.000], [0.000, 0.000, 5.211]], "species": ["Sn", "Ge", "As", "Se", "Se"], "frac_coords": [[0.000, 0.000, 0.000], [0.500, 0.500, 0.500], [0.000, 0.000, 0.500], [0.000, 0.500, 0.000], [0.500, 0.000, 0.000]], "formation_energy_uncorrected_ev_per_atom": 0.637, "space_group": "No. 123", "mass_density_g_cm3": 4.9, "volume_a3_per_fu": 144, "n_ef_per_ev_atom": 0.856, "total_energy_ev_per_atom": -3.41}

=====

Question: What is the formula in the first record?
Answer: SnGeAsSe2